# BeAlNO2, relaxed, DFT GGA-PBE
# Calculated total energy   -27.618 eV/cell
# Formation energy from raw total energies   -0.38 eV per atom
# Space-group type   P4/mmm, No. 123
data_BeAlNO2
_space_group_name_H-M_alt 'P 1'
_space_group_IT_number 1
_cell_length_a 3.4185
_cell_length_b 3.4185
_cell_length_c 3.4500
_cell_angle_alpha 90.00
_cell_angle_beta 90.00
_cell_angle_gamma 90.00
loop_
_space_group_symop_operation_xyz
'x,y,z'
loop_
_atom_site_label
_atom_site_type_symbol
_atom_site_fract_x
_atom_site_fract_y
_atom_site_fract_z
Be1 Be 0.0000 0.0000 0.0000
Al1 Al 0.5000 0.5000 0.5000
N1 N 0.0000 0.0000 0.5000
O1 O 0.0000 0.5000 0.0000
O2 O 0.5000 0.0000 0.0000